[1]
# Sb3As | the Alexandria database | PBE | optimized geometry
# excess energy over the best structure of this formula in the dataset = 83.6 kJ per mole of atoms
# formation energy without anion corrections = 0.894 eV/atom
data_Sb3As
_chemical_formula_sum 'Sb3 As1'
_cell_length_a 5.473
_cell_length_b 5.473
_cell_length_c 5.473
_cell_angle_alpha 90.00
_cell_angle_beta 90.00
_cell_angle_gamma 90.00
_space_group_name_H-M_alt 'P m -3 m'
_space_group_IT_number 221
_space_group_name_Hall '-P 4 2 3'
loop_
_atom_site_label
_atom_site_type_symbol
_atom_site_fract_x
_atom_site_fract_y
_atom_site_fract_z
_atom_site_occupancy
Sb1 Sb 0.000 0.000 0.500 1
As1 As 0.000 0.000 0.000 1

***

[2]
# Sb3As | the Alexandria database | PBE | optimized geometry
# excess energy over the best structure of this formula in the dataset = 26.0 kJ per mole of atoms
# formation energy without anion corrections = 0.296 eV/atom
data_Sb3As
_chemical_formula_sum 'Sb3 As1'
_cell_length_a 3.286
_cell_length_b 5.167
_cell_length_c 6.030
_cell_angle_alpha 90.00
_cell_angle_beta 100.01
_cell_angle_gamma 90.00
_space_group_name_H-M_alt 'P 1 2/m 1'
_space_group_IT_number 10
loop_
_space_group_symop_operation_xyz
'x,y,z'
'-x,-y,-z'
'-x,y,-z'
'x,-y,z'
loop_
_atom_site_label
_atom_site_type_symbol
_atom_site_fract_x
_atom_site_fract_y
_atom_site_fract_z
_atom_site_occupancy
Sb1 Sb 0.000 0.000 0.000 1
Sb2 Sb 0.270 0.500 0.734 1
As1 As 0.500 0.000 0.500 1

***

[3]
# SbAs3 | the Alexandria database | PBE | optimized geometry
# excess energy over the best structure of this formula in the dataset = 8.7 kJ per mole of atoms
# formation energy without anion corrections = 0.095 eV/atom
data_SbAs3
_chemical_formula_sum 'Sb3 As9'
_cell_length_a 4.0356
_cell_length_b 4.0356
_cell_length_c 19.2714
_cell_angle_alpha 90.00
_cell_angle_beta 90.00
_cell_angle_gamma 120.00
_space_group_name_H-M_alt 'R -3 m'
_space_group_IT_number 166
_space_group_name_Hall '-R 3 2"'
loop_
_atom_site_label
_atom_site_type_symbol
_atom_site_fract_x
_atom_site_fract_y
_atom_site_fract_z
_atom_site_occupancy
Sb1 Sb 0.0000 0.0000 0.0000 1
As1 As 0.0000 0.0000 0.2443 1
As2 As 0.0000 0.0000 0.5000 1

***

[4]
# SbAs3 | the Alexandria database | PBE | optimized geometry
# excess energy over the best structure of this formula in the dataset = 22.1 kJ per mole of atoms
# formation energy without anion corrections = 0.234 eV/atom
data_SbAs3
_chemical_formula_sum 'Sb1 As3'
_cell_length_a 3.7708
_cell_length_b 3.7708
_cell_length_c 7.4367
_cell_angle_alpha 90.00
_cell_angle_beta 90.00
_cell_angle_gamma 120.00
_space_group_name_H-M_alt 'P -6 m 2'
_space_group_IT_number 187
_space_group_name_Hall 'P -6 2'
loop_
_atom_site_label
_atom_site_type_symbol
_atom_site_fract_x
_atom_site_fract_y
_atom_site_fract_z
_atom_site_occupancy
Sb1 Sb 0.0000 0.0000 0.0000 1
As1 As 0.0000 0.0000 0.5000 1
As2 As 0.3333 0.6667 0.2662 1

***

[5]
# Sb3As | the Alexandria database | PBE | optimized geometry
# excess energy over the best structure of this formula in the dataset = 0.0 kJ per mole of atoms
# formation energy without anion corrections = 0.027 eV/atom
data_Sb3As
_chemical_formula_sum 'Sb3 As1'
_cell_length_a 4.205
_cell_length_b 6.097
_cell_length_c 4.565
_cell_angle_alpha 90.00
_cell_angle_beta 90.00
_cell_angle_gamma 90.00
_space_group_name_H-M_alt 'P m m 2'
_space_group_IT_number 25
loop_
_space_group_symop_operation_xyz
'x,y,z'
'-x,-y,z'
'-x,y,z'
'x,-y,z'
loop_
_atom_site_label
_atom_site_type_symbol
_atom_site_fract_x
_atom_site_fract_y
_atom_site_fract_z
_atom_site_occupancy
Sb1 Sb 0.000 0.000 0.000 1
Sb2 Sb 0.000 0.500 0.099 1
Sb3 Sb 0.500 0.000 0.567 1
As1 As 0.500 0.500 0.489 1

***

[6]
# SbAs | the Alexandria database | PBE | optimized geometry
# excess energy over the best structure of this formula in the dataset = 5.7 kJ per mole of atoms
# formation energy without anion corrections = 0.046 eV/atom
data_SbAs
_chemical_formula_sum 'Sb4 As4'
_cell_length_a 6.172
_cell_length_b 6.172
_cell_length_c 6.172
_cell_angle_alpha 90.00
_cell_angle_beta 90.00
_cell_angle_gamma 90.00
_space_group_name_H-M_alt 'P 21 3'
_space_group_IT_number 198
_space_group_name_Hall 'P 2ac 2ab 3'
loop_
_atom_site_label
_atom_site_type_symbol
_atom_site_fract_x
_atom_site_fract_y
_atom_site_fract_z
_atom_site_occupancy
Sb1 Sb 0.033 0.467 0.533 1
As1 As 0.031 0.531 0.969 1

***

[7]
# SbAs | the Alexandria database | PBE | optimized geometry
# excess energy over the best structure of this formula in the dataset = 33.7 kJ per mole of atoms
# formation energy without anion corrections = 0.336 eV/atom
data_SbAs
_chemical_formula_sum 'Sb6 As6'
_cell_length_a 7.977
_cell_length_b 7.977
_cell_length_c 7.977
_cell_angle_alpha 90.00
_cell_angle_beta 90.00
_cell_angle_gamma 90.00
_space_group_name_H-M_alt 'P m -3 n'
_space_group_IT_number 223
_space_group_name_Hall '-P 4n 2 3'
loop_
_atom_site_label
_atom_site_type_symbol
_atom_site_fract_x
_atom_site_fract_y
_atom_site_fract_z
_atom_site_occupancy
Sb1 Sb 0.000 0.250 0.500 1
As1 As 0.000 0.500 0.250 1

***

[8]
# SbAs | the Alexandria database | PBE | optimized geometry
# excess energy over the best structure of this formula in the dataset = 37.8 kJ per mole of atoms
# formation energy without anion corrections = 0.378 eV/atom
data_SbAs
_chemical_formula_sum 'Sb4 As4'
_cell_length_a 4.183
_cell_length_b 4.183
_cell_length_c 10.831
_cell_angle_alpha 90.00
_cell_angle_beta 90.00
_cell_angle_gamma 90.00
_space_group_name_H-M_alt 'I 41/a m d'
_space_group_IT_number 141
loop_
_space_group_symop_operation_xyz
'x,y,z'
'-x,-y,-z'
'-y+1/4,x+3/4,z+1/4'
'y+1/4,-x+3/4,-z+1/4'
'-x+1/2,-y,z+1/2'
'x+1/2,y,-z+1/2'
'y+1/4,-x+1/4,z+3/4'
'-y+1/4,x+1/4,-z+3/4'
'x,-y,-z'
'-x,y,z'
'-y+1/4,-x+1/4,-z+3/4'
'y+1/4,x+1/4,z+3/4'
'-x+1/2,y,-z+1/2'
'x+1/2,-y,z+1/2'
'y+1/4,x+3/4,-z+1/4'
'-y+1/4,-x+3/4,z+1/4'
'x+1/2,y+1/2,z+1/2'
'-x+1/2,-y+1/2,-z+1/2'
'-y+3/4,x+1/4,z+3/4'
'y+3/4,-x+1/4,-z+3/4'
'-x,-y+1/2,z'
'x,y+1/2,-z'
'y+3/4,-x+3/4,z+1/4'
'-y+3/4,x+3/4,-z+1/4'
'x+1/2,-y+1/2,-z+1/2'
'-x+1/2,y+1/2,z+1/2'
'-y+3/4,-x+3/4,-z+1/4'
'y+3/4,x+3/4,z+1/4'
'-x,y+1/2,-z'
'x,-y+1/2,z'
'y+3/4,x+1/4,-z+3/4'
'-y+3/4,-x+1/4,z+3/4'
loop_
_atom_site_label
_atom_site_type_symbol
_atom_site_fract_x
_atom_site_fract_y
_atom_site_fract_z
_atom_site_occupancy
Sb1 Sb 0.000 0.250 0.375 1
As1 As 0.000 0.250 0.875 1

***

[9]
# Sb5As | the Alexandria database | PBE | optimized geometry
# excess energy over the best structure of this formula in the dataset = 12.4 kJ per mole of atoms
# formation energy without anion corrections = 0.322 eV/atom
data_Sb5As
_chemical_formula_sum 'Sb5 As1'
_cell_length_a 3.180
_cell_length_b 3.180
_cell_length_c 15.622
_cell_angle_alpha 90.00
_cell_angle_beta 90.00
_cell_angle_gamma 90.00
_space_group_name_H-M_alt 'P 4/m m m'
_space_group_IT_number 123
_space_group_name_Hall '-P 4 2'
loop_
_atom_site_label
_atom_site_type_symbol
_atom_site_fract_x
_atom_site_fract_y
_atom_site_fract_z
_atom_site_occupancy
Sb1 Sb 0.000 0.000 0.000 1
Sb2 Sb 0.000 0.000 0.358 1
Sb3 Sb 0.500 0.500 0.177 1
As1 As 0.500 0.500 0.500 1

***

[10]
# SbAs3 | the Alexandria database | PBE | optimized geometry
# excess energy over the best structure of this formula in the dataset = 22.3 kJ per mole of atoms
# formation energy without anion corrections = 0.236 eV/atom
data_SbAs3
_chemical_formula_sum 'Sb4 As12'
_cell_length_a 6.088
_cell_length_b 13.021
_cell_length_c 5.375
_cell_angle_alpha 90.00
_cell_angle_beta 90.00
_cell_angle_gamma 90.00
_space_group_name_H-M_alt 'C m c m'
_space_group_IT_number 63
_space_group_name_Hall '-C 2c 2'
loop_
_atom_site_label
_atom_site_type_symbol
_atom_site_fract_x
_atom_site_fract_y
_atom_site_fract_z
_atom_site_occupancy
Sb1 Sb 0.000 0.163 0.250 1
As1 As 0.000 0.491 0.250 1
As2 As 0.230 0.153 0.750 1

***

[11]
# Sb4As | the Alexandria database | PBE | optimized geometry
# excess energy over the best structure of this formula in the dataset = 0.0 kJ per mole of atoms
# formation energy without anion corrections = 0.198 eV/atom
data_Sb4As
_chemical_formula_sum 'Sb8 As2'
_cell_length_a 8.321
_cell_length_b 8.321
_cell_length_c 3.908
_cell_angle_alpha 90.00
_cell_angle_beta 90.00
_cell_angle_gamma 90.00
_space_group_name_H-M_alt 'I 4/m m m'
_space_group_IT_number 139
_space_group_name_Hall '-I 4 2'
loop_
_atom_site_label
_atom_site_type_symbol
_atom_site_fract_x
_atom_site_fract_y
_atom_site_fract_z
_atom_site_occupancy
Sb1 Sb 0.000 0.284 0.000 1
As1 As 0.000 0.000 0.500 1

***

[12]
# SbAs | the Alexandria database | PBE | optimized geometry
# excess energy over the best structure of this formula in the dataset = 30.6 kJ per mole of atoms
# formation energy without anion corrections = 0.305 eV/atom
data_SbAs
_chemical_formula_sum 'Sb4 As4'
_cell_length_a 6.558
_cell_length_b 6.558
_cell_length_c 6.558
_cell_angle_alpha 90.00
_cell_angle_beta 90.00
_cell_angle_gamma 90.00
_space_group_name_H-M_alt 'F -4 3 m'
_space_group_IT_number 216
_space_group_name_Hall 'F -4 2 3'
loop_
_atom_site_label
_atom_site_type_symbol
_atom_site_fract_x
_atom_site_fract_y
_atom_site_fract_z
_atom_site_occupancy
Sb1 Sb 0.000 0.000 0.000 1
As1 As 0.250 0.250 0.750 1

***

[13]
# SbAs | the Alexandria database | PBE | optimized geometry
# excess energy over the best structure of this formula in the dataset = 27.3 kJ per mole of atoms
# formation energy without anion corrections = 0.270 eV/atom
data_SbAs
_chemical_formula_sum 'Sb8 As8'
_cell_length_a 12.091
_cell_length_b 12.091
_cell_length_c 5.116
_cell_angle_alpha 90.00
_cell_angle_beta 90.00
_cell_angle_gamma 90.00
_space_group_name_H-M_alt 'P 4/m'
_space_group_IT_number 83
loop_
_space_group_symop_operation_xyz
'x,y,z'
'-x,-y,-z'
'-y,x,z'
'y,-x,-z'
'-x,-y,z'
'x,y,-z'
'y,-x,z'
'-y,x,-z'
loop_
_atom_site_label
_atom_site_type_symbol
_atom_site_fract_x
_atom_site_fract_y
_atom_site_fract_z
_atom_site_occupancy
Sb1 Sb 0.083 0.281 0.000 1
Sb2 Sb 0.107 0.610 0.500 1
As1 As 0.120 0.378 0.500 1
As2 As 0.137 0.705 0.000 1

***

[14]
# SbAs2 | the Alexandria database | PBE | optimized geometry
# excess energy over the best structure of this formula in the dataset = 6.0 kJ per mole of atoms
# formation energy without anion corrections = 0.089 eV/atom
data_SbAs2
_chemical_formula_sum 'Sb1 As2'
_cell_length_a 4.0696
_cell_length_b 4.0696
_cell_length_c 4.8993
_cell_angle_alpha 90.00
_cell_angle_beta 90.00
_cell_angle_gamma 120.00
_space_group_name_H-M_alt 'P -3 m 1'
_space_group_IT_number 164
_space_group_name_Hall '-P 3 2"'
loop_
_atom_site_label
_atom_site_type_symbol
_atom_site_fract_x
_atom_site_fract_y
_atom_site_fract_z
_atom_site_occupancy
Sb1 Sb 0.0000 0.0000 0.0000 1
As1 As 0.3333 0.6667 0.3458 1